[1]
Compound: OsW3
Source: the Alexandria database
Functional: PBE
Structure: relaxed

Spin magnetization: 0.000 μB/atom
Electronic total energy: -12.274 eV per atom

```
4
Lattice="2.7743 0.0000 0.0000 0.0000 4.0184 0.0000 0.0000 0.0000 5.6850" Properties=species:S:1:pos:R:3 pbc="T T T"
W 1.3871 2.0092 1.3789
Os 0.0000 0.0000 0.0000
W 0.0000 0.0000 2.8425
W 1.3871 2.0092 4.3061
```

=====

[2]
Compound: Os3W
Source: the Alexandria database
Functional: PBE
Structure: relaxed

Spin magnetization: 0.000 μB/atom
Electronic total energy: -11.644 eV per atom

```
4
Lattice="3.8945 0.0000 0.0000 0.0000 3.8945 0.0000 0.0000 0.0000 3.8945" Properties=species:S:1:pos:R:3 pbc="T T T"
Os 0.0000 0.0000 0.0000
W 1.9473 1.9473 0.0000
Os 1.9473 0.0000 1.9473
Os 0.0000 1.9473 1.9473
```